RbHgTe2 GGA-PBEsol optimized geometry; SG = I-42d; E_form (uncorrected) = -0.38 eV per atom; size of the total moment = 0.00 μB per cell
1.0
-0.380 5.823 4.230
-6.355 -2.889 -1.793
3.598 -5.028 3.704
Te Rb Hg
4 2 2
direct
0.125 0.702 0.077
0.298 0.375 0.423
0.625 0.048 0.923
0.952 0.875 0.577
0.750 0.250 0.500
0.500 0.500 0.000
0.000 0.000 0.000
0.250 0.750 0.500